Entry 1:
DFT (PBE) results for crystalline La3PmSm6Dy2 at its relaxed geometry. Values from VASP.

Properties
- Formation enthalpy at 0 K: 0.02 eV per atom
- Size of the total moment: 0.00 μB per formula unit
- Volume: 34.33 A^3/atom
- Total DFT energy (no corrections): -4.735 eV per atom

Geometry as Quantum ESPRESSO input:
```
&SYSTEM
  ibrav = 0, nat = 12, ntyp = 4
/
ATOMIC_SPECIES
La 138.91 La.upf
Pm 145.00 Pm.upf
Sm 150.36 Sm.upf
Dy 162.50 Dy.upf
ATOMIC_POSITIONS angstrom
La 0.000 0.000 0.000
La 3.158 1.829 0.000
La 3.158 -1.829 0.000
Pm 2.099 0.000 5.959
Sm 1.048 1.829 3.038
Sm -0.015 0.000 8.880
Sm 1.048 -1.829 3.038
Sm 3.149 1.829 8.879
Sm 4.212 0.000 3.037
Sm 3.149 -1.829 8.879
Dy 2.099 3.648 5.959
Dy 2.099 -3.648 5.959
CELL_PARAMETERS angstrom
3.158 -5.473 0.000
3.158 5.473 0.000
-2.118 0.000 11.917
```

Entry 2:
DFT (PBE) results for crystalline LaPm6SmDy2 at its relaxed geometry. Values from VASP.

Properties
- Formation enthalpy at 0 K: 0.12 eV per atom
- Size of the total moment: 0.00 μB per formula unit
- Volume: 34.49 A^3/atom
- Total DFT energy (no corrections): -4.620 eV per atom

Geometry as Quantum ESPRESSO input:
```
&SYSTEM
  ibrav = 0, nat = 20, ntyp = 4
/
ATOMIC_SPECIES
La 138.91 La.upf
Pm 145.00 Pm.upf
Sm 150.36 Sm.upf
Dy 162.50 Dy.upf
ATOMIC_POSITIONS angstrom
La 3.655 6.216 7.267
La 4.317 -6.216 2.422
Pm 3.243 6.006 3.678
Pm 2.491 3.478 1.753
Pm 5.392 6.006 1.166
Pm 3.301 2.717 5.388
Pm 4.009 2.717 9.146
Pm 6.143 3.478 3.092
Pm 1.829 -3.478 6.598
Pm 3.963 -2.717 0.543
Pm 4.671 -2.717 4.301
Pm 2.581 -6.006 8.523
Pm 5.481 -3.478 7.936
Pm 4.730 -6.006 6.011
Sm 4.317 0.463 2.422
Sm 3.655 -0.463 7.267
Dy 1.114 0.752 9.239
Dy 1.777 -0.752 4.395
Dy 6.196 0.752 5.294
Dy 6.858 -0.752 0.450
CELL_PARAMETERS angstrom
4.648 -7.659 0.000
4.648 7.659 0.000
-1.324 0.000 9.689
```

Entry 3:
DFT (PBE) results for crystalline LaPm2Sm4Dy at its relaxed geometry. Values from VASP.

Properties
- Formation enthalpy at 0 K: 0.38 eV per atom
- Size of the total moment: 0.01 μB per formula unit
- Volume: 34.63 A^3/atom
- Total DFT energy (no corrections): -4.359 eV per atom

Geometry as Quantum ESPRESSO input:
```
&SYSTEM
  ibrav = 0, nat = 16, ntyp = 4
/
ATOMIC_SPECIES
La 138.91 La.upf
Pm 145.00 Pm.upf
Sm 150.36 Sm.upf
Dy 162.50 Dy.upf
ATOMIC_POSITIONS angstrom
La 3.444 3.358 0.000
La 1.712 -3.358 2.995
Pm 0.000 0.000 0.000
Pm -1.732 0.000 2.995
Pm 1.712 3.358 2.995
Pm 3.444 -3.358 0.000
Sm 3.412 -0.001 0.119
Sm 1.680 0.001 3.114
Sm 3.417 3.305 5.973
Sm 5.163 3.305 3.011
Sm 5.148 -3.305 2.978
Sm 6.894 -3.305 0.017
Sm 8.631 -0.001 2.876
Sm 6.900 0.001 5.871
Dy 6.887 0.000 0.000
Dy 5.156 0.000 2.995
CELL_PARAMETERS angstrom
6.887 -6.716 0.000
6.887 6.716 0.000
-3.463 0.000 5.990
```

Entry 4:
DFT (PBE) results for crystalline La3PmSm2Dy6 at its relaxed geometry. Values from VASP.

Properties
- Formation enthalpy at 0 K: 0.01 eV per atom
- Size of the total moment: 0.00 μB per formula unit
- Volume: 33.33 A^3/atom
- Total DFT energy (no corrections): -4.701 eV per atom

Geometry as Quantum ESPRESSO input:
```
&SYSTEM
  ibrav = 0, nat = 12, ntyp = 4
/
ATOMIC_SPECIES
La 138.91 La.upf
Pm 145.00 Pm.upf
Sm 150.36 Sm.upf
Dy 162.50 Dy.upf
ATOMIC_POSITIONS angstrom
La 0.000 0.000 0.000
La 3.142 1.814 0.000
La 3.142 -1.814 0.000
Pm 2.096 0.000 5.846
Sm 2.096 3.629 5.846
Sm 2.096 -3.629 5.846
Dy 1.049 1.815 2.959
Dy 0.002 0.000 8.733
Dy 1.049 -1.815 2.959
Dy 3.144 1.815 8.733
Dy 4.191 0.000 2.959
Dy 3.144 -1.815 8.733
CELL_PARAMETERS angstrom
3.142 -5.444 0.000
3.142 5.444 0.000
-2.091 0.000 11.693
```

Entry 5:
DFT (PBE) results for crystalline La4Pm2Sm2Dy at its relaxed geometry. Values from VASP.

Properties
- Formation enthalpy at 0 K: 0.02 eV per atom
- Size of the total moment: 0.00 μB per formula unit
- Volume: 35.13 A^3/atom
- Total DFT energy (no corrections): -4.784 eV per atom

Geometry as Quantum ESPRESSO input:
```
&SYSTEM
  ibrav = 0, nat = 9, ntyp = 4
/
ATOMIC_SPECIES
La 138.91 La.upf
Pm 145.00 Pm.upf
Sm 150.36 Sm.upf
Dy 162.50 Dy.upf
ATOMIC_POSITIONS angstrom
La -0.015 0.000 2.566
La 2.580 0.000 5.188
La 10.422 0.000 2.573
La 13.018 0.000 5.196
Pm 5.201 0.000 2.558
Pm 7.801 0.000 5.204
Sm 2.598 0.000 0.002
Sm 10.405 0.000 7.759
Dy 7.812 0.000 0.000
CELL_PARAMETERS angstrom
7.812 -2.607 0.000
7.812 2.607 0.000
-2.621 0.000 7.762
```

Entry 6:
DFT (PBE) results for crystalline La2PmSm2Dy2 at its relaxed geometry. Values from VASP.

Properties
- Formation enthalpy at 0 K: 0.02 eV per atom
- Size of the total moment: 0.00 μB per formula unit
- Volume: 34.23 A^3/atom
- Total DFT energy (no corrections): -4.726 eV per atom

Geometry as Quantum ESPRESSO input:
```
&SYSTEM
  ibrav = 0, nat = 7, ntyp = 4
/
ATOMIC_SPECIES
La 138.91 La.upf
Pm 145.00 Pm.upf
Sm 150.36 Sm.upf
Dy 162.50 Dy.upf
ATOMIC_POSITIONS angstrom
La 1.155 0.000 3.449
La 9.221 0.000 4.636
Pm 0.000 0.000 0.000
Sm 2.297 0.000 6.953
Sm 8.078 0.000 1.133
Dy 4.620 0.000 2.292
Dy 5.756 0.000 5.794
CELL_PARAMETERS angstrom
5.757 -2.574 0.000
5.757 2.574 0.000
-1.138 0.000 8.085
```

Entry 7:
DFT (PBE) results for crystalline La2PmSm3Dy6 at its relaxed geometry. Values from VASP.

Properties
- Formation enthalpy at 0 K: 0.01 eV per atom
- Size of the total moment: 0.00 μB per formula unit
- Volume: 33.10 A^3/atom
- Total DFT energy (no corrections): -4.683 eV per atom

Geometry as Quantum ESPRESSO input:
```
&SYSTEM
  ibrav = 0, nat = 12, ntyp = 4
/
ATOMIC_SPECIES
La 138.91 La.upf
Pm 145.00 Pm.upf
Sm 150.36 Sm.upf
Dy 162.50 Dy.upf
ATOMIC_POSITIONS angstrom
La 3.132 3.619 0.000
La 3.132 -3.619 0.000
Pm 3.132 0.000 0.000
Sm -1.042 0.000 5.843
Sm 2.091 1.807 5.843
Sm 2.091 -1.807 5.843
Dy 0.004 1.805 8.734
Dy 1.052 0.000 2.951
Dy 0.004 -1.805 8.734
Dy 4.178 1.805 2.951
Dy 3.130 0.000 8.734
Dy 4.178 -1.805 2.951
CELL_PARAMETERS angstrom
3.132 -5.426 0.000
3.132 5.426 0.000
-2.083 0.000 11.685
```

Entry 8:
DFT (PBE) results for crystalline LaPm2Sm5Dy at its relaxed geometry. Values from VASP.

Properties
- Formation enthalpy at 0 K: 0.26 eV per atom
- Size of the total moment: 0.00 μB per formula unit
- Volume: 34.52 A^3/atom
- Total DFT energy (no corrections): -4.472 eV per atom

Geometry as Quantum ESPRESSO input:
```
&SYSTEM
  ibrav = 0, nat = 18, ntyp = 4
/
ATOMIC_SPECIES
La 138.91 La.upf
Pm 145.00 Pm.upf
Sm 150.36 Sm.upf
Dy 162.50 Dy.upf
ATOMIC_POSITIONS angstrom
La 0.000 0.000 3.921
La 0.000 0.000 11.762
Pm 5.490 1.039 0.000
Pm 1.039 3.412 0.000
Pm 3.412 1.039 7.841
Pm -1.039 3.412 7.841
Sm 0.000 0.000 0.000
Sm 2.604 1.847 -2.138
Sm 2.604 -1.847 5.703
Sm 2.604 1.847 2.138
Sm 2.604 -1.847 9.979
Sm 0.000 0.000 7.841
Sm 1.847 6.298 -2.138
Sm 1.847 2.604 5.703
Sm 1.847 6.298 2.138
Sm 1.847 2.604 9.979
Dy 4.451 0.000 3.921
Dy 0.000 4.451 3.921
CELL_PARAMETERS angstrom
-4.451 4.451 7.841
4.451 -4.451 7.841
4.451 4.451 -7.841
```

Entry 9:
DFT (PBE) results for crystalline La2Pm2Sm2Dy at its relaxed geometry. Values from VASP.

Properties
- Formation enthalpy at 0 K: 0.02 eV per atom
- Size of the total moment: 0.00 μB per formula unit
- Volume: 34.70 A^3/atom
- Total DFT energy (no corrections): -4.749 eV per atom

Geometry as Quantum ESPRESSO input:
```
&SYSTEM
  ibrav = 0, nat = 7, ntyp = 4
/
ATOMIC_SPECIES
La 138.91 La.upf
Pm 145.00 Pm.upf
Sm 150.36 Sm.upf
Dy 162.50 Dy.upf
ATOMIC_POSITIONS angstrom
La 1.155 0.000 3.443
La 9.257 0.000 4.652
Pm 2.296 0.000 6.966
Pm 8.116 0.000 1.128
Sm 4.644 0.000 2.287
Sm 5.768 0.000 5.808
Dy 0.000 0.000 0.000
CELL_PARAMETERS angstrom
5.788 -2.592 0.000
5.788 2.592 0.000
-1.164 0.000 8.095
```

Entry 10:
DFT (PBE) results for crystalline La2Pm6SmDy at its relaxed geometry. Values from VASP.

Properties
- Formation enthalpy at 0 K: 0.11 eV per atom
- Size of the total moment: 0.00 μB per formula unit
- Volume: 34.83 A^3/atom
- Total DFT energy (no corrections): -4.655 eV per atom

Geometry as Quantum ESPRESSO input:
```
&SYSTEM
  ibrav = 0, nat = 20, ntyp = 4
/
ATOMIC_SPECIES
La 138.91 La.upf
Pm 145.00 Pm.upf
Sm 150.36 Sm.upf
Dy 162.50 Dy.upf
ATOMIC_POSITIONS angstrom
La 2.141 0.742 0.404
La 1.248 -0.742 5.377
La 6.150 0.742 4.568
La 5.257 -0.742 9.541
Pm 2.411 4.274 1.879
Pm 2.954 4.715 5.530
Pm 3.551 4.715 9.388
Pm 3.000 1.569 3.772
Pm 5.879 4.274 3.094
Pm 5.290 1.569 1.200
Pm 2.107 -1.569 8.745
Pm 1.519 -4.274 6.851
Pm 4.398 -1.569 6.173
Pm 3.847 -4.715 0.557
Pm 4.444 -4.715 4.415
Pm 4.987 -4.274 8.066
Sm 4.145 7.444 2.486
Sm 3.253 -7.444 7.459
Dy 3.253 1.448 7.459
Dy 4.145 -1.448 2.486
CELL_PARAMETERS angstrom
4.591 -7.628 0.000
4.591 7.628 0.000
-1.785 0.000 9.945
```

Which formula does entry 3 have?
LaPm2Sm4Dy